Compound: NaLi2OsI
Source: the Alexandria database
Functional: PBE-GGA
Structure: optimized geometry

```
NaLi2OsI
1.0
-3.537 0.021 3.620
-0.047 -5.724 -0.012
3.620 -0.037 3.537
Os Li Na I
1 2 1 1
Cartesian
0.018 -2.870 3.573
-1.769 0.011 1.810
1.810 -0.019 1.769
-0.024 -2.862 -0.006
0.000 0.000 0.000
```

Results
uncorrected formation energy = 0.925 eV per atom
size of the total moment = 2.1 μB/f.u.
ρ = 4.008 g cm⁻³
Fermi-level density of states = 5.7 states/eV per cell
space-group type = P4/mmm, No. 123
E_tot = -13.30 eV per cell

Compound: NaLiPaI6
Source: the Alexandria database
Functional: PBE-GGA
Structure: optimized geometry

```
NaLiPaI6
1.0
7.685 0.000 0.000
-3.842 6.655 0.000
0.000 0.000 14.571
I Na Li Pa
12 2 2 2
Cartesian
-2.490 4.319 5.383
2.490 4.319 1.903
2.496 4.316 9.188
-1.347 2.339 1.903
6.332 2.336 9.188
4.985 0.003 12.669
2.699 0.003 9.188
5.189 4.316 12.669
1.143 6.652 5.383
-1.143 6.652 1.903
1.353 2.336 12.669
1.347 2.339 5.383
0.000 0.000 0.000
0.000 0.000 7.286
3.842 2.218 10.928
0.000 4.437 3.643
3.842 2.218 3.643
0.000 4.437 10.928
```

Results
uncorrected formation energy = -1.071 eV per atom
size of the total moment = 1.0 μB/f.u.
ρ = 4.556 g cm⁻³
Fermi-level density of states = 2.5 states/eV per cell
space-group type = P-31c, No. 163
E_tot = -63.34 eV per cell

Compound: NaLiPbI4
Source: the Alexandria database
Functional: PBE-GGA
Structure: optimized geometry

```
NaLiPbI4
1.0
-6.194 6.947 -0.246
-3.200 3.100 -8.063
-8.710 -1.616 -2.529
I Na Li Pb
8 2 2 2
Cartesian
-4.505 2.126 -2.718
-7.611 5.591 -2.858
-6.090 3.605 -6.750
-8.833 1.259 -3.962
-9.271 7.173 -6.876
-13.599 6.306 -8.121
-12.014 4.827 -4.088
-10.492 2.841 -7.981
-5.955 0.742 -5.296
0.000 0.000 0.000
-7.056 5.986 -5.684
-11.047 2.446 -5.155
-7.452 2.666 -1.388
-4.355 -0.808 -1.265
```

Results
uncorrected formation energy = -0.970 eV per atom
size of the total moment = 0.0 μB/f.u.
ρ = 4.473 g cm⁻³
Fermi-level density of states = 0.0 states/eV per cell
space-group type = Imma, No. 74
E_tot = -39.86 eV per cell

Compound: Na2LiPbI5
Source: the Alexandria database
Functional: PBE-GGA
Structure: optimized geometry

```
Na2LiPbI5
1.0
-2.111 3.746 1.486
-2.468 -0.099 -10.220
-12.354 -8.177 3.063
I Na Li Pb
10 4 2 2
Cartesian
-8.270 -1.863 -0.090
-4.369 -0.319 1.562
-0.606 0.078 -1.057
-10.540 -0.778 -6.048
-2.776 1.228 -7.041
-4.942 0.984 -2.537
-13.565 -4.673 -0.527
-6.880 -2.182 -4.274
-10.698 -4.659 -3.454
-13.013 -4.508 -7.122
-5.896 2.261 -7.110
-14.095 -3.594 -4.000
-8.377 -5.031 0.780
-4.955 -2.338 -1.145
-8.125 -1.891 -6.775
-12.897 -5.346 2.118
-9.792 -1.575 -2.977
-2.075 0.397 -3.949
```

Results
uncorrected formation energy = -1.006 eV per atom
size of the total moment = 0.0 μB/f.u.
ρ = 4.205 g cm⁻³
Fermi-level density of states = 0.0 states/eV per cell
space-group type = Cmc2_1, No. 36
E_tot = -50.13 eV per cell

Compound: NaLiPb2I6
Source: the Alexandria database
Functional: PBE-GGA
Structure: optimized geometry

```
NaLiPb2I6
1.0
7.991 0.001 0.000
3.996 6.920 0.000
3.995 2.307 7.276
I Na Pb Li
6 1 2 1
Cartesian
5.574 4.709 5.536
6.542 2.113 1.808
9.283 6.660 5.536
6.551 7.119 1.809
10.882 4.609 1.809
9.117 2.474 5.535
11.987 6.921 3.874
7.991 4.614 3.362
3.995 2.307 7.077
3.996 2.307 0.147
```

Results
uncorrected formation energy = -0.853 eV per atom
size of the total moment = 0.0 μB/f.u.
ρ = 4.977 g cm⁻³
Fermi-level density of states = 0.0 states/eV per cell
space-group type = R3, No. 146
E_tot = -28.48 eV per cell

Compound: Na2LiPmI6
Source: the Alexandria database
Functional: PBE-GGA
Structure: optimized geometry

```
Na2LiPmI6
1.0
-2.842 5.698 4.739
-6.506 -1.329 4.351
0.946 -0.959 8.358
I Pm Na Li
6 1 2 1
Cartesian
-6.266 4.327 9.212
-6.464 -0.318 7.265
-2.404 -0.793 8.640
-2.778 2.834 5.887
-5.195 0.829 11.501
-1.909 3.240 10.089
-3.027 1.404 3.145
-4.424 1.840 8.432
0.769 -0.854 8.130
-7.133 3.047 11.993
```

Results
uncorrected formation energy = -1.286 eV per atom
size of the total moment = 0.0 μB/f.u.
ρ = 4.100 g cm⁻³
Fermi-level density of states = 0.0 states/eV per cell
space-group type = P1, No. 1
E_tot = -31.46 eV per cell

Compound: Na2LiPuI6
Source: the Alexandria database
Functional: PBE-GGA
Structure: optimized geometry

```
Na2LiPuI6
1.0
7.892 0.001 0.000
3.947 6.834 0.001
3.946 2.279 7.192
Na I Pu Li
2 6 1 1
Cartesian
3.947 2.280 6.893
7.893 4.556 3.218
9.281 6.602 5.422
6.384 7.050 1.901
8.969 2.333 5.422
6.487 2.004 1.901
5.427 4.737 5.421
10.806 4.618 1.901
3.946 2.279 0.140
11.837 6.837 3.854
```

Results
uncorrected formation energy = -1.144 eV per atom
size of the total moment = 5.0 μB/f.u.
ρ = 4.531 g cm⁻³
Fermi-level density of states = 11.5 states/eV per cell
space-group type = R3, No. 146
E_tot = -39.62 eV per cell

Compound: RbNaLiI3
Source: the Alexandria database
Functional: PBE-GGA
Structure: optimized geometry

```
RbNaLiI3
1.0
-3.665 0.418 -2.928
-6.144 -3.155 7.240
0.409 10.798 1.030
Li Na I Rb
2 2 6 2
Cartesian
-8.170 1.703 4.788
-1.230 6.358 0.554
-4.905 -0.570 4.164
-4.495 8.631 1.178
-5.681 2.700 5.602
-5.482 0.738 1.285
-3.918 7.323 4.056
-8.175 -0.983 4.410
-3.719 5.361 -0.261
-1.225 9.044 0.931
-7.359 6.147 4.407
-2.042 1.914 0.935
```

Results
uncorrected formation energy = -1.311 eV per atom
size of the total moment = 0.0 μB/f.u.
ρ = 3.343 g cm⁻³
Fermi-level density of states = 0.0 states/eV per cell
space-group type = P2_1/m, No. 11
E_tot = -33.44 eV per cell

Compound: RbNaLi2I4
Source: the Alexandria database
Functional: PBE-GGA
Structure: optimized geometry

```
RbNaLi2I4
1.0
-5.737 -4.444 -2.800
0.778 -3.482 -6.874
0.850 -7.690 -0.339
Li Na I Rb
2 1 4 1
Cartesian
-3.081 -11.713 -7.510
-1.028 -3.903 -2.503
-2.055 -7.808 -5.006
-2.041 -6.599 -2.199
0.457 -7.062 -6.582
-2.037 -10.864 -4.946
-4.597 -6.707 -6.299
0.000 0.000 0.000
```

Results
uncorrected formation energy = -1.227 eV per atom
size of the total moment = 0.0 μB/f.u.
ρ = 3.173 g cm⁻³
Fermi-level density of states = 0.0 states/eV per cell
space-group type = I-42m, No. 121
E_tot = -22.13 eV per cell

Compound: NaLi2ReI
Source: the Alexandria database
Functional: PBE-GGA
Structure: optimized geometry

```
NaLi2ReI
1.0
-4.157 -1.048 -3.209
3.377 -1.195 -3.983
0.063 -5.113 1.588
Li I Na Re
2 1 1 1
Cartesian
0.031 -2.557 0.794
-2.078 -0.524 -1.604
1.688 -0.598 -1.992
0.000 0.000 0.000
-0.359 -3.678 -2.802
```

Results
uncorrected formation energy = 1.352 eV per atom
size of the total moment = 4.1 μB/f.u.
ρ = 3.784 g cm⁻³
Fermi-level density of states = 4.0 states/eV per cell
space-group type = P4/mmm, No. 123
E_tot = -12.38 eV per cell

Compound: Na2LiSI
Source: the Alexandria database
Functional: PBE-GGA
Structure: optimized geometry

```
Na2LiSI
1.0
-0.648 -5.297 -0.896
4.881 -0.957 2.130
-1.914 -0.472 4.175
Li Na S I
1 2 1 1
Cartesian
-0.957 -0.236 2.087
-0.324 -2.648 -0.448
2.441 -0.478 1.065
0.000 0.000 0.000
1.160 -3.363 2.704
```

Results
uncorrected formation energy = -1.154 eV per atom
size of the total moment = 0.0 μB/f.u.
ρ = 2.603 g cm⁻³
Fermi-level density of states = 0.0 states/eV per cell
space-group type = P4/mmm, No. 123
E_tot = -16.00 eV per cell

Compound: NaLi2SI
Source: the Alexandria database
Functional: PBE-GGA
Structure: optimized geometry

```
NaLi2SI
1.0
4.709 0.000 0.000
0.000 4.709 0.000
0.000 0.000 5.493
S I Li Na
1 1 2 1
Cartesian
0.000 0.000 0.000
2.355 2.355 2.746
2.355 0.000 0.000
0.000 2.355 0.000
0.000 0.000 2.746
```

Results
uncorrected formation energy = -1.183 eV per atom
size of the total moment = 0.0 μB/f.u.
ρ = 2.669 g cm⁻³
Fermi-level density of states = 0.0 states/eV per cell
space-group type = P4/mmm, No. 123
E_tot = -16.74 eV per cell

Compound: NaLi2ScI6
Source: the Alexandria database
Functional: PBE-GGA
Structure: optimized geometry

```
NaLi2ScI6
1.0
7.546 0.001 0.000
3.774 6.535 0.000
3.773 2.178 6.946
Li Sc I Na
2 1 6 1
Cartesian
3.774 2.180 6.863
7.548 4.357 3.263
3.773 2.178 0.106
6.226 2.144 1.669
8.838 2.442 5.277
10.123 4.320 1.668
8.558 6.433 5.277
5.242 4.195 5.277
6.291 6.606 1.668
11.318 6.535 3.764
```

Results
uncorrected formation energy = -1.195 eV per atom
size of the total moment = 0.0 μB/f.u.
ρ = 4.088 g cm⁻³
Fermi-level density of states = 0.0 states/eV per cell
space-group type = R3, No. 146
E_tot = -32.73 eV per cell

Compound: NaLiSc2I
Source: the Alexandria database
Functional: PBE-GGA
Structure: optimized geometry

```
NaLiSc2I
1.0
-0.756 -0.102 -5.705
0.534 -4.191 0.004
-5.659 -0.720 0.763
Na Sc I Li
1 2 1 1
Cartesian
0.000 0.000 0.000
-0.378 -0.051 -2.852
-2.830 -0.360 0.381
-2.941 -2.507 -2.469
0.267 -2.095 0.002
```

Results
uncorrected formation energy = 0.695 eV per atom
size of the total moment = 1.0 μB/f.u.
ρ = 2.927 g cm⁻³
Fermi-level density of states = 5.0 states/eV per cell
space-group type = P4/mmm, No. 123
E_tot = -13.97 eV per cell

Compound: Na2LiScI6
Source: the Alexandria database
Functional: PBE-GGA
Structure: optimized geometry

```
Na2LiScI6
1.0
7.806 0.000 -0.004
3.903 6.760 -0.002
3.899 2.253 6.850
I Na Sc Li
6 2 1 1
Cartesian
6.284 1.971 1.758
9.163 6.441 5.231
5.447 4.717 5.231
6.373 7.095 1.757
8.799 2.361 5.232
10.763 4.455 1.753
7.805 4.507 2.935
3.901 2.253 6.518
3.903 2.253 0.124
11.704 6.760 3.787
```

Results
uncorrected formation energy = -1.205 eV per atom
size of the total moment = 0.0 μB/f.u.
ρ = 3.946 g cm⁻³
Fermi-level density of states = 0.0 states/eV per cell
space-group type = R3, No. 146
E_tot = -32.23 eV per cell

Compound: Na2LiSeI
Source: the Alexandria database
Functional: PBE-GGA
Structure: optimized geometry

```
Na2LiSeI
1.0
-3.095 -1.051 -4.536
4.648 -1.022 -2.935
-0.238 -4.637 1.237
Se Li Na I
1 1 2 1
Cartesian
0.000 0.000 0.000
-0.119 -2.319 0.618
-1.547 -0.525 -2.268
2.324 -0.511 -1.467
0.657 -3.355 -3.117
```

Results
uncorrected formation energy = -1.106 eV per atom
size of the total moment = 0.0 μB/f.u.
ρ = 2.861 g cm⁻³
Fermi-level density of states = 0.0 states/eV per cell
space-group type = P4/mmm, No. 123
E_tot = -15.12 eV per cell

Compound: Na2LiSnI5
Source: the Alexandria database
Functional: PBE-GGA
Structure: optimized geometry

```
Na2LiSnI5
1.0
4.594 0.000 0.000
-2.297 9.984 0.000
0.000 0.000 16.101
I Sn Li Na
10 2 2 4
Cartesian
0.000 9.580 4.435
0.000 4.656 10.713
2.297 0.404 12.486
2.297 4.828 14.321
0.000 1.552 0.183
0.000 7.995 0.118
2.297 8.432 8.234
2.297 5.328 2.663
2.297 1.989 8.168
0.000 5.156 6.270
2.297 5.080 8.542
0.000 4.904 0.492
2.297 2.087 14.748
0.000 7.897 6.698
2.297 8.924 14.191
0.000 1.060 6.140
2.297 8.550 2.368
0.000 1.434 10.419
```

Results
uncorrected formation energy = -0.971 eV per atom
size of the total moment = 0.0 μB/f.u.
ρ = 3.626 g cm⁻³
Fermi-level density of states = 0.0 states/eV per cell
space-group type = Cmc2_1, No. 36
E_tot = -50.09 eV per cell

Compound: NaSrLiI4
Source: the Alexandria database
Functional: PBE-GGA
Structure: optimized geometry

```
NaSrLiI4
1.0
9.094 0.000 0.000
4.547 8.103 0.048
4.547 2.514 7.703
I Li Sr Na
8 2 2 2
Cartesian
6.856 3.907 5.787
9.094 2.621 1.976
11.332 3.907 5.787
4.547 2.628 1.981
11.332 6.710 1.965
13.642 7.989 5.770
6.856 6.710 1.965
9.094 7.996 5.775
9.094 5.214 0.873
9.094 5.403 6.879
0.000 0.000 0.000
4.547 5.309 3.876
2.274 1.257 3.852
6.821 1.257 3.852
```

Results
uncorrected formation energy = -1.422 eV per atom
size of the total moment = 0.0 μB/f.u.
ρ = 3.664 g cm⁻³
Fermi-level density of states = 0.0 states/eV per cell
space-group type = Imma, No. 74
E_tot = -42.14 eV per cell

Compound: NaSr2LiI6
Source: the Alexandria database
Functional: PBE-GGA
Structure: optimized geometry

```
NaSr2LiI6
1.0
-6.035 3.141 -4.378
-5.455 -4.874 -3.455
-7.990 -0.187 3.403
I Na Sr Li
6 1 2 1
Cartesian
-8.489 -3.974 -3.384
-9.051 -1.922 0.661
-12.537 -2.231 -1.731
-10.902 1.581 -0.849
-6.714 0.715 -2.462
-10.896 0.085 -5.312
-13.721 -1.523 -4.605
-7.832 -0.202 3.173
-9.548 -0.978 -2.492
-3.942 -0.568 -2.448
```

Results
uncorrected formation energy = -1.489 eV per atom
size of the total moment = 0.0 μB/f.u.
ρ = 3.867 g cm⁻³
Fermi-level density of states = 0.0 states/eV per cell
space-group type = R3, No. 146
E_tot = -30.79 eV per cell

Compound: Na2LiTaI
Source: the Alexandria database
Functional: PBE-GGA
Structure: optimized geometry

```
Na2LiTaI
1.0
-4.623 3.548 1.841
-2.997 -4.328 0.815
2.039 -0.329 5.752
Na I Li Ta
2 1 1 1
Cartesian
1.020 -0.164 2.876
-2.311 1.774 0.921
-2.790 -0.554 4.204
-1.498 -2.164 0.408
0.000 0.000 0.000
```

Results
uncorrected formation energy = 1.050 eV per atom
size of the total moment = 5.0 μB/f.u.
ρ = 3.011 g cm⁻³
Fermi-level density of states = 5.1 states/eV per cell
space-group type = P4/mmm, No. 123
E_tot = -12.70 eV per cell